The following is a PBE calculation of crystalline Tl2CdPd2 at its relaxed geometry, from Alexandria via LeMat-Bulk.

Results
Total magnetic moment, μB per atom: 0.000
Theoretical density, g/cm3: 11.701
Energy relative to the lowest polymorph listed for this composition, meV per atom: 0.0

a b c (Å): 7.426 7.426 3.778
angles (deg): 90.00 90.00 90.00
Element x y z (fractional)
1 Tl 0.159 0.341 0.000
2 Tl 0.341 0.841 0.000
3 Tl 0.659 0.159 0.000
4 Tl 0.841 0.659 0.000
5 Cd 0.000 0.000 0.500
6 Cd 0.500 0.500 0.500
7 Pd 0.142 0.642 0.500
8 Pd 0.358 0.142 0.500
9 Pd 0.642 0.858 0.500
10 Pd 0.858 0.358 0.500


The following is a PBE calculation of crystalline NiIBr at its relaxed geometry, from Alexandria via LeMat-Bulk.

Results
E_form (uncorrected), eV per atom: -0.193
Total magnetic moment, μB per atom: 0.669
Theoretical density, g/cm3: 5.077
Energy relative to the lowest polymorph listed for this composition, meV per atom: 0.0

a b c (Å): 3.836 3.836 6.813
angles (deg): 90.00 90.00 120.00
Element x y z (fractional)
1 Ni 0.000 0.000 0.000
2 I 0.667 0.333 0.224
3 Br 0.333 0.667 0.798